# PBE YHfTe2, relaxed
# E (hartree per atom): -0.2218
data_YHfTe2
_chemical_formula_sum 'Y3 Hf3 Te6'
_cell_length_a 4.0059
_cell_length_b 4.0059
_cell_length_c 28.4249
_cell_angle_alpha 90.00
_cell_angle_beta 90.00
_cell_angle_gamma 120.00
_symmetry_space_group_name_H-M 'R -3 m'
_symmetry_Int_Tables_number 166
_symmetry_space_group_name_Hall '-R 3 2"'
loop_
_atom_site_label
_atom_site_fract_x
_atom_site_fract_y
_atom_site_fract_z
Y1 0.0000 0.0000 0.0000
Hf1 0.0000 0.0000 0.5000
Te1 0.0000 0.0000 0.4020

# PBE YHfTe3, relaxed
# E (hartree per atom): -0.2038
data_YHfTe3
_chemical_formula_sum 'Y1 Hf1 Te3'
_cell_length_a 5.517
_cell_length_b 5.517
_cell_length_c 5.517
_cell_angle_alpha 90.00
_cell_angle_beta 90.00
_cell_angle_gamma 90.00
_symmetry_space_group_name_H-M 'P m -3 m'
_symmetry_Int_Tables_number 221
_symmetry_space_group_name_Hall '-P 4 2 3'
loop_
_atom_site_label
_atom_site_fract_x
_atom_site_fract_y
_atom_site_fract_z
Y1 0.000 0.000 0.000
Hf1 0.500 0.500 0.500
Te1 0.000 0.500 0.500

# PBE YHf2Te, relaxed
# E (hartree per atom): -0.2679
data_YHf2Te
_chemical_formula_sum 'Y4 Hf8 Te4'
_cell_length_a 8.534
_cell_length_b 8.534
_cell_length_c 5.938
_cell_angle_alpha 90.00
_cell_angle_beta 90.00
_cell_angle_gamma 90.00
_symmetry_space_group_name_H-M 'I -4 2 d'
_symmetry_Int_Tables_number 122
_symmetry_space_group_name_Hall 'I -4 2bw'
loop_
_atom_site_label
_atom_site_fract_x
_atom_site_fract_y
_atom_site_fract_z
Y1 0.000 0.000 0.000
Hf1 0.203 0.750 0.625
Te1 0.000 0.000 0.500